RbAsIr | PBE | relaxed

Structure (CIF):
```
data_RbAsIr
_symmetry_space_group_name_H-M 'I 4 m m'
_symmetry_Int_Tables_number 107
_symmetry_space_group_name_Hall 'I 4 -2'
_cell_length_a 3.336
_cell_length_b 3.336
_cell_length_c 12.766
_cell_angle_alpha 90.00
_cell_angle_beta 90.00
_cell_angle_gamma 90.00
loop_
_atom_site_label
_atom_site_fract_x
_atom_site_fract_y
_atom_site_fract_z
Rb1 0.000 0.000 0.000
As1 0.000 0.000 0.715
Ir1 0.000 0.000 0.287
```

Computed properties:
ΔE_f, meV per atom: -8
Energy above the lowest structure with this stoichiometry, kJ/mol of formula units: 106
Final energy, eV/atom: -4.8340
D(E_F), states/eV/f.u.: 1.60